Ce3TiTl4S8 PBE-GGA optimized geometry; calculated density = 6.04 g/cm³; E = -5.523 eV/atom; formation energy (no corrections) = -20.185 eV/f.u.; V = 423.7 Å³/cell; DOS at the Fermi energy = 1.31 states/eV/atom; symmetry = R-3m, No. 166
1.0
4.027 2.325 7.542
-4.027 2.325 7.542
0.000 -4.650 7.542
Ce Ti Tl S
3 1 4 8
direct
0.000 0.500 0.500 Ce
0.500 0.000 0.500 Ce
0.500 0.500 0.000 Ce
0.000 0.000 0.000 Ti
0.000 0.000 0.500 Tl
0.000 0.500 0.000 Tl
0.500 0.000 0.000 Tl
0.500 0.500 0.500 Tl
0.220 0.220 0.754 S
0.220 0.754 0.220 S
0.246 0.780 0.780 S
0.264 0.264 0.264 S
0.736 0.736 0.736 S
0.754 0.220 0.220 S
0.780 0.246 0.780 S
0.780 0.780 0.246 S